# 1
First-principles (PBEsol) data for a relaxed LiTl3 crystal, as listed in Alexandria via LeMat-Bulk.

Lattice parameters (Å, degrees): 4.646 4.646 4.646 90.00 90.00 90.00
Atoms (fractional coordinates):
Li (0.000, 0.000, 0.000)
Tl (0.000, 0.500, 0.500)
Tl (0.500, 0.000, 0.500)
Tl (0.500, 0.500, 0.000)

Calculated values
* total magnetization: 0.00 μB/f.u.
* energy: -2.560 eV/atom
* V: 100 Å³ per cell
* crystal system: cubic
* calculated formation energy: -0.0957 eV/atom


# 2
First-principles (PBEsol) data for a relaxed Li3Tl crystal, as listed in Alexandria via LeMat-Bulk.

Lattice parameters (Å, degrees): 4.653 4.653 4.653 60.00 60.00 60.00
Atoms (fractional coordinates):
Li (0.000, 0.000, 0.000)
Li (0.250, 0.250, 0.250)
Li (0.750, 0.750, 0.750)
Tl (0.500, 0.500, 0.500)

Calculated values
* total magnetization: 0.00 μB/f.u.
* energy: -2.388 eV/atom
* V: 71 Å³ per cell
* crystal system: cubic
* calculated formation energy: -0.2559 eV/atom


# 3
First-principles (PBEsol) data for a relaxed LiTl3 crystal, as listed in Alexandria via LeMat-Bulk.

Lattice parameters (Å, degrees): 3.519 5.239 5.518 90.00 90.00 90.00
Atoms (fractional coordinates):
Li (0.000, 0.000, 0.000)
Tl (0.000, 0.500, 0.341)
Tl (0.500, 0.000, 0.503)
Tl (0.500, 0.500, 0.853)

Calculated values
* total magnetization: 0.00 μB/f.u.
* energy: -2.558 eV/atom
* V: 102 Å³ per cell
* crystal system: orthorhombic
* calculated formation energy: -0.0932 eV/atom


# 4
First-principles (PBEsol) data for a relaxed LiTl3 crystal, as listed in Alexandria via LeMat-Bulk.

Lattice parameters (Å, degrees): 6.090 6.090 6.090 144.87 128.77 63.64
Atoms (fractional coordinates):
Li (0.000, 0.000, 0.000)
Tl (0.228, 0.728, 0.500)
Tl (0.500, 0.500, 0.000)
Tl (0.772, 0.272, 0.500)

Calculated values
* total magnetization: 0.00 μB/f.u.
* energy: -2.566 eV/atom
* V: 100 Å³ per cell
* crystal system: orthorhombic
* calculated formation energy: -0.1014 eV/atom


# 5
First-principles (PBEsol) data for a relaxed LiTmTl2 crystal, as listed in Alexandria via LeMat-Bulk.

Lattice parameters (Å, degrees): 5.057 5.057 5.057 60.00 60.00 60.00
Atoms (fractional coordinates):
Li (0.000, 0.000, 0.000)
Tm (0.500, 0.500, 0.500)
Tl (0.250, 0.250, 0.250)
Tl (0.750, 0.750, 0.750)

Calculated values
* total magnetization: 0.00 μB/f.u.
* energy: -3.398 eV/atom
* V: 91 Å³ per cell
* crystal system: cubic
* calculated formation energy: -0.3664 eV/atom


# 6
First-principles (PBEsol) data for a relaxed LiTlW crystal, as listed in Alexandria via LeMat-Bulk.

Lattice parameters (Å, degrees): 2.919 2.919 7.341 90.00 90.00 120.00
Atoms (fractional coordinates):
Li (0.000, 0.000, 0.000)
Tl (0.333, 0.667, 0.669)
W (0.667, 0.333, 0.321)

Calculated values
* total magnetization: 0.00 μB/f.u.
* energy: -5.519 eV/atom
* V: 54 Å³ per cell
* crystal system: trigonal
* calculated formation energy: 0.6158 eV/atom


# 7
First-principles (PBEsol) data for a relaxed Li2TlW crystal, as listed in Alexandria via LeMat-Bulk.

Lattice parameters (Å, degrees): 2.742 2.742 9.221 90.00 90.00 90.00
Atoms (fractional coordinates):
Li (0.000, 0.000, 0.237)
Li (0.000, 0.000, 0.763)
Tl (0.500, 0.500, 0.500)
W (0.500, 0.500, 0.000)

Calculated values
* total magnetization: 0.00 μB/f.u.
* energy: -4.659 eV/atom
* V: 69 Å³ per cell
* crystal system: tetragonal
* calculated formation energy: 0.4341 eV/atom


# 8
First-principles (PBEsol) data for a relaxed LiTl3W crystal, as listed in Alexandria via LeMat-Bulk.

Lattice parameters (Å, degrees): 5.324 5.324 5.324 90.00 90.00 90.00
Atoms (fractional coordinates):
Li (0.000, 0.000, 0.000)
Tl (0.000, 0.500, 0.500)
Tl (0.500, 0.000, 0.500)
Tl (0.500, 0.500, 0.000)
W (0.500, 0.500, 0.500)

Calculated values
* total magnetization: 0.00 μB/f.u.
* energy: -4.062 eV/atom
* V: 151 Å³ per cell
* crystal system: cubic
* calculated formation energy: 0.6709 eV/atom